Record 1
# Ba6HRh2Cl2

Ba6HRh2Cl2 after structural relaxation (GGA-PBE, the Alexandria database).

abc: 7.6724 7.6724 8.2931
angles: 99.38 99.38 119.32
Last column: nearest neighbours and their distance in Å.
Fractional coordinates of all 11 atoms:
1 Ba 0.9253 0.5874 0.2766  2 Rh 3.02-3.12, 1 H 3.12, 1 Cl 3.31
2 Ba 0.2546 0.2546 0.2884  1 H 3.03, 2 Rh 3.13, 2 Cl 3.39
3 Ba 0.4126 0.0747 0.7234  2 Rh 3.02-3.12, 1 H 3.12, 1 Cl 3.31
4 Ba 0.5874 0.9253 0.2766  2 Rh 3.02-3.12, 1 H 3.12, 1 Cl 3.31
5 Ba 0.0747 0.4126 0.7234  2 Rh 3.02-3.12, 1 H 3.12, 1 Cl 3.31
6 Ba 0.7454 0.7454 0.7116  1 H 3.03, 2 Rh 3.13, 2 Cl 3.39
7 Rh 0.3272 0.6728 0.5000  6 Ba 3.02-3.13
8 Rh 0.6728 0.3272 0.5000  6 Ba 3.02-3.13
9 Cl 0.8327 0.1673 0.0000  6 Ba 3.31-3.41
10 Cl 0.1673 0.8327 0.0000  6 Ba 3.31-3.41
11 H 0.0000 0.0000 0.5000  6 Ba 3.03-3.12

## Properties
- Mass density: 4.541 g cm⁻³
- Total moment: 0.0 Bohr magnetons per cell
- VASP energy: -3.86 eV/atom

Record 2
# Ba6HRh2Cl3

Ba6HRh2Cl3 after structural relaxation (GGA-PBE, the Alexandria database).

abc: 7.6134 7.6134 8.4220
angles: 98.70 98.70 120.02
Last column: nearest neighbours and their distance in Å.
Fractional coordinates of all 12 atoms:
1 Ba 0.2603 0.2603 0.7813  2 Rh 3.08, 1 H 3.09, 3 Cl 3.40-3.44
2 Ba 0.5952 0.9276 0.7827  1 H 3.07, 2 Rh 3.08-3.09, 3 Cl 3.36-3.40
3 Ba 0.4048 0.0724 0.2173  1 H 3.07, 2 Rh 3.08-3.09, 3 Cl 3.36-3.40
4 Ba 0.0724 0.4048 0.2173  1 H 3.07, 2 Rh 3.08-3.09, 3 Cl 3.36-3.40
5 Ba 0.9276 0.5952 0.7827  1 H 3.07, 2 Rh 3.08-3.09, 3 Cl 3.36-3.40
6 Ba 0.7397 0.7397 0.2187  2 Rh 3.08, 1 H 3.09, 3 Cl 3.40-3.44
7 Rh 0.3342 0.6658 0.0000  6 Ba 3.08-3.09
8 Rh 0.6658 0.3342 0.0000  6 Ba 3.08-3.09
9 H 0.0000 0.0000 0.0000  6 Ba 3.07-3.09
10 Cl 0.1724 0.8276 0.5000  6 Ba 3.36-3.44
11 Cl 0.5000 0.5000 0.5000  6 Ba 3.40
12 Cl 0.8276 0.1724 0.5000  6 Ba 3.36-3.44

## Properties
- Mass density: 4.687 g cm⁻³
- Total moment: 0.0 Bohr magnetons per cell
- VASP energy: -4.01 eV/atom

Record 3
# BaHSCl2

BaHSCl2 after structural relaxation (GGA-PBE, the Alexandria database).

abc: 5.3383 5.3383 3.7073
angles: 90.00 90.00 90.00
Last column: nearest neighbours and their distance in Å.
Fractional coordinates of all 5 atoms:
1 Ba 0.5000 0.5000 0.5000  8 Cl 3.25
2 H 0.0000 0.0000 0.0000  2 S 1.85
3 S 0.0000 0.0000 0.5000  2 H 1.85
4 Cl 0.5000 0.0000 0.0000  2 H 2.67
5 Cl 0.0000 0.5000 0.0000  2 H 2.67

## Properties
- Mass density: 3.793 g cm⁻³
- Total moment: 0.9 Bohr magnetons per cell
- Distance to the lowest polymorph of the same formula: 0.000 eV/atom
- VASP energy: -3.47 eV/atom

Record 4
# BaHS2Cl

BaHS2Cl after structural relaxation (GGA-PBE, the Alexandria database).

abc: 6.4629 6.4629 5.9883
angles: 90.00 90.00 90.00
Last column: nearest neighbours and their distance in Å.
Fractional coordinates of all 5 atoms:
1 S 0.5000 0.0000 0.0000  2 Ba 3.23
2 S 0.0000 0.5000 0.0000  2 Ba 3.23
3 Cl 0.0000 0.0000 0.5000  2 Ba 2.99
4 H 0.5000 0.5000 0.5000  8 S 4.41, 4 Cl 4.57
5 Ba 0.0000 0.0000 0.0000  2 Cl 2.99, 4 S 3.23

## Properties
- Mass density: 1.580 g cm⁻³
- Total moment: 4.0 Bohr magnetons per cell
- Distance to the lowest polymorph of the same formula: 0.823 eV/atom
- VASP energy: -2.89 eV/atom

Record 5
# BaHS2Cl

BaHS2Cl after structural relaxation (GGA-PBE, the Alexandria database).

abc: 4.1775 4.1775 5.8670
angles: 90.00 90.00 90.00
Last column: nearest neighbours and their distance in Å.
Fractional coordinates of all 5 atoms:
1 S 0.0000 0.5000 0.0000  2 H 2.09
2 S 0.5000 0.0000 0.0000  2 H 2.09
3 Ba 0.5000 0.5000 0.5000  4 Cl 2.95
4 Cl 0.0000 0.0000 0.5000  2 H 2.93, 4 Ba 2.95
5 H 0.0000 0.0000 0.0000  4 S 2.09

## Properties
- Mass density: 3.859 g cm⁻³
- Total moment: 0.0 Bohr magnetons per cell
- Distance to the lowest polymorph of the same formula: 0.000 eV/atom
- VASP energy: -3.72 eV/atom

Record 6
# BaHSCl2

BaHSCl2 after structural relaxation (GGA-PBE, the Alexandria database).

abc: 6.0263 6.0263 6.7137
angles: 90.00 90.00 90.00
Last column: nearest neighbours and their distance in Å.
Fractional coordinates of all 5 atoms:
1 Ba 0.0000 0.0000 0.0000  4 Cl 3.01, 2 S 3.36
2 Cl 0.5000 0.0000 0.0000  2 Ba 3.01
3 Cl 0.0000 0.5000 0.0000  2 Ba 3.01
4 S 0.0000 0.0000 0.5000  2 Ba 3.36
5 H 0.5000 0.5000 0.5000  4 S 4.26, 8 Cl 4.51

## Properties
- Mass density: 1.643 g cm⁻³
- Total moment: 3.0 Bohr magnetons per cell
- Distance to the lowest polymorph of the same formula: 0.518 eV/atom
- VASP energy: -2.95 eV/atom

Record 7
# Ba2SiHCl

Ba2SiHCl after structural relaxation (GGA-PBE, the Alexandria database).

abc: 6.0353 4.7001 6.0353
angles: 90.00 90.00 90.00
Last column: nearest neighbours and their distance in Å.
Fractional coordinates of all 5 atoms:
1 Ba 0.0000 0.0000 0.5000  2 Cl 3.02
2 Ba 0.5000 0.0000 0.0000  2 Cl 3.02
3 Si 0.0000 0.5000 0.0000  2 Cl 2.35
4 H 0.5000 0.5000 0.5000  8 Ba 3.82, 4 Si 4.27
5 Cl 0.0000 0.0000 0.0000  2 Si 2.35

## Properties
- Mass density: 3.290 g cm⁻³
- Total moment: 0.0 Bohr magnetons per cell
- VASP energy: -3.02 eV/atom

Record 8
# BaSiHCl2

BaSiHCl2 after structural relaxation (GGA-PBE, the Alexandria database).

abc: 5.9791 7.4883 5.9791
angles: 90.00 90.00 90.00
Last column: nearest neighbours and their distance in Å.
Fractional coordinates of all 5 atoms:
1 Cl 0.5000 0.0000 0.0000  2 Ba 2.99
2 Cl 0.0000 0.0000 0.5000  2 Ba 2.99
3 Ba 0.0000 0.0000 0.0000  4 Cl 2.99
4 H 0.5000 0.5000 0.5000  4 Si 4.23
5 Si 0.0000 0.5000 0.0000  2 Ba 3.74

## Properties
- Mass density: 1.472 g cm⁻³
- Total moment: 3.0 Bohr magnetons per cell
- VASP energy: -2.86 eV/atom

Q: total moment of number 1 (Ba6HRh2Cl2)?
A: 0.0 Bohr magnetons per cell

Q: mass density of number 3 (BaHSCl2)?
A: 3.793 g cm⁻³

Q: Look up the VASP energy of the third one.
A: -3.47 eV/atom

Q: Which of these has the highest mass density?
A: Ba6HRh2Cl3